Entry from Alexandria: Y3Se2O2 after structural relaxation (GGA-PBE).

Properties
Space-group type: P-1, No. 2
Energy relative to the elements, uncorrected in eV/f.u.: -16.83
Total magnetization in μB/atom: 0.000
Volume in Å³ per cell: 142.73

a b c (Å): 3.5892 6.0436 6.9633
angles (deg): 98.04 90.02 107.21
With the nearest neighbours (Å) after each atom.
Sites, in units of the cell vectors:
Y 0.0000 0.0000 0.0000  4 O 2.47-2.48, 2 Se 2.75
Y 0.2313 0.4621 0.7732  3 O 2.36-2.46
Y 0.7687 0.5379 0.2268  3 O 2.36-2.46
Se 0.1158 0.2305 0.3753  4 Y 2.75-2.89
Se 0.8842 0.7695 0.6247  4 Y 2.75-2.89
O 0.3636 0.7271 0.0656  5 Y 2.36-2.48
O 0.6364 0.2729 0.9344  5 Y 2.36-2.48



Entry from Alexandria: YSeO3 after structural relaxation (GGA-PBE).

Properties
Space-group type: P2_1/c, No. 14
Energy relative to the elements, uncorrected in eV/f.u.: -10.45
Total magnetization in μB/atom: 0.000
Volume in Å³ per cell: 646.90

a b c (Å): 5.9913 12.4702 9.0155
angles (deg): 90.00 106.18 90.00
With the nearest neighbours (Å) after each atom.
Sites, in units of the cell vectors:
Y 0.1396 0.2450 0.1602  4 O 2.11-2.36
Y 0.1396 0.2550 0.6602  4 O 2.11-2.36
Y 0.2590 0.5619 0.0826  6 O 2.18-2.44
Y 0.2590 0.9381 0.5826  6 O 2.18-2.44
Y 0.7410 0.0619 0.4174  6 O 2.18-2.44
Y 0.7410 0.4381 0.9174  6 O 2.18-2.44
Y 0.8604 0.7450 0.3398  4 O 2.11-2.36
Y 0.8604 0.7550 0.8398  4 O 2.11-2.36
Se 0.1322 0.5124 0.6807  2 O 1.79-1.82
Se 0.1322 0.9876 0.1807  2 O 1.79-1.82
Se 0.4514 0.6589 0.4785  3 O 1.73-1.75
Se 0.4514 0.8411 0.9785  3 O 1.73-1.75
Se 0.5486 0.1589 0.0215  3 O 1.73-1.75
Se 0.5486 0.3411 0.5215  3 O 1.73-1.75
Se 0.8678 0.0124 0.8193  2 O 1.79-1.82
Se 0.8678 0.4876 0.3193  2 O 1.79-1.82
O 0.0514 0.5924 0.2765  1 Se 1.82
O 0.0514 0.9076 0.7765  1 Se 1.82
O 0.0952 0.0943 0.5829  3 Y 2.11-2.26
O 0.0952 0.4057 0.0829  3 Y 2.11-2.26
O 0.2483 0.7451 0.9891  1 Se 1.73
O 0.2483 0.7549 0.4891  1 Se 1.73
O 0.2866 0.2227 0.9271  1 Se 1.75
O 0.2866 0.2773 0.4271  1 Se 1.75
O 0.3668 0.5157 0.8552  1 Se 1.79
O 0.3668 0.9843 0.3552  1 Se 1.79
O 0.4785 0.6793 0.2940  1 Se 1.73
O 0.4785 0.8207 0.7940  1 Se 1.73
O 0.5215 0.1793 0.2060  1 Se 1.73
O 0.5215 0.3207 0.7060  1 Se 1.73
O 0.6332 0.0157 0.6448  1 Se 1.79
O 0.6332 0.4843 0.1448  1 Se 1.79
O 0.7134 0.7227 0.5729  1 Se 1.75
O 0.7134 0.7773 0.0729  1 Se 1.75
O 0.7517 0.2451 0.5109  1 Se 1.73
O 0.7517 0.2549 0.0109  1 Se 1.73
O 0.9048 0.5943 0.9171  3 Y 2.11-2.26
O 0.9048 0.9057 0.4171  3 Y 2.11-2.26
O 0.9486 0.0924 0.2235  1 Se 1.82
O 0.9486 0.4076 0.7235  1 Se 1.82



Entry from Alexandria: Y2Se3O12 after structural relaxation (GGA-PBE).

Properties
Space-group type: C2/c, No. 15
Energy relative to the elements, uncorrected in eV/f.u.: -25.47
Total magnetization in μB/atom: 0.000
Volume in Å³ per cell: 450.67
Energy above the lowest structure with this stoichiometry in meV per atom: 78.1

a b c (Å): 6.8817 6.8817 11.3016
angles (deg): 99.37 99.37 117.52
With the nearest neighbours (Å) after each atom.
Sites, in units of the cell vectors:
Y 0.0518 0.3007 0.0931  6 O 2.28-2.50
Y 0.3007 0.0518 0.5931  6 O 2.28-2.50
Y 0.6993 0.9482 0.4069  6 O 2.28-2.50
Y 0.9482 0.6993 0.9069  6 O 2.28-2.50
Se 0.1351 0.8649 0.2500  4 O 1.66-1.70
Se 0.2135 0.4496 0.4235  4 O 1.66-1.71
Se 0.4496 0.2135 0.9235  4 O 1.66-1.71
Se 0.5504 0.7865 0.0765  4 O 1.66-1.71
Se 0.7865 0.5504 0.5765  4 O 1.66-1.71
Se 0.8649 0.1351 0.7500  4 O 1.66-1.70
O 0.0037 0.5828 0.2104  1 Se 1.66
O 0.0498 0.9385 0.1230  1 Se 1.70
O 0.0615 0.9502 0.3770  1 Se 1.70
O 0.0697 0.6848 0.6056  1 Se 1.67
O 0.2607 0.6548 0.0429  1 Se 1.71
O 0.2634 0.3705 0.2888  1 Se 1.67
O 0.3117 0.3779 0.5430  1 Se 1.66
O 0.3152 0.9303 0.8944  1 Se 1.67
O 0.3452 0.7393 0.4571  1 Se 1.71
O 0.3705 0.2634 0.7888  1 Se 1.67
O 0.3779 0.3117 0.0430  1 Se 1.66
O 0.4172 0.9963 0.2896  1 Se 1.66
O 0.5828 0.0037 0.7104  1 Se 1.66
O 0.6221 0.6883 0.9570  1 Se 1.66
O 0.6295 0.7366 0.2112  1 Se 1.67
O 0.6548 0.2607 0.5429  1 Se 1.71
O 0.6848 0.0697 0.1056  1 Se 1.67
O 0.6883 0.6221 0.4570  1 Se 1.66
O 0.7366 0.6295 0.7112  1 Se 1.67
O 0.7393 0.3452 0.9571  1 Se 1.71
O 0.9303 0.3152 0.3944  1 Se 1.67
O 0.9385 0.0498 0.6230  1 Se 1.70
O 0.9502 0.0615 0.8770  1 Se 1.70
O 0.9963 0.4172 0.7896  1 Se 1.66



Entry from Alexandria: Y2SeO after structural relaxation (GGA-PBE).

Properties
Space-group type: I-42d, No. 122
Energy relative to the elements, uncorrected in eV/f.u.: -8.14
Total magnetization in μB/atom: 0.000
Volume in Å³ per cell: 194.36
Energy above the lowest structure with this stoichiometry in meV per atom: 146.6

a b c (Å): 6.9837 6.9837 6.9837
angles (deg): 130.14 130.14 73.18
With the nearest neighbours (Å) after each atom.
Sites, in units of the cell vectors:
Y 0.0519 0.6250 0.9269  2 O 2.28
Y 0.3750 0.3019 0.4269  2 O 2.28
Y 0.6981 0.1250 0.0731  2 O 2.28
Y 0.8750 0.9481 0.5731  2 O 2.28
Se 0.2500 0.7500 0.5000  4 Y 2.78
Se 0.5000 0.5000 0.0000  4 Y 2.78
O 0.0000 0.0000 0.0000  4 Y 2.28
O 0.7500 0.2500 0.5000  4 Y 2.28



Entry from Alexandria: Y2SeO after structural relaxation (GGA-PBE).

Properties
Space-group type: Pmn2_1, No. 31
Energy relative to the elements, uncorrected in eV/f.u.: -8.59
Total magnetization in μB/atom: 0.058
Volume in Å³ per cell: 177.01
Energy above the lowest structure with this stoichiometry in meV per atom: 34.5

a b c (Å): 3.9046 9.6619 4.6919
angles (deg): 90.00 90.00 90.00
With the nearest neighbours (Å) after each atom.
Sites, in units of the cell vectors:
Y 0.0000 0.0843 0.0000  3 O 2.21-2.26
Y 0.0000 0.6848 0.9723  1 O 2.29
Y 0.5000 0.3152 0.4723  1 O 2.29
Y 0.5000 0.9157 0.5000  3 O 2.21-2.26
Se 0.0000 0.3791 0.9909  6 Y 2.85-3.18
Se 0.5000 0.6209 0.4909  6 Y 2.85-3.18
O 0.0000 0.8935 0.7398  4 Y 2.21-2.29
O 0.5000 0.1065 0.2398  4 Y 2.21-2.29



Entry from Alexandria: YSeO3 after structural relaxation (GGA-PBE).

Properties
Space-group type: Pm-3m, No. 221
Energy relative to the elements, uncorrected in eV/f.u.: -3.99
Total magnetization in μB/atom: 0.112
Volume in Å³ per cell: 79.92

a b c (Å): 4.3074 4.3074 4.3074
angles (deg): 90.00 90.00 90.00
With the nearest neighbours (Å) after each atom.
Sites, in units of the cell vectors:
Y 0.0000 0.0000 0.0000  6 O 2.15
Se 0.5000 0.5000 0.5000  12 O 3.05
O 0.0000 0.0000 0.5000  2 Y 2.15
O 0.0000 0.5000 0.0000  2 Y 2.15
O 0.5000 0.0000 0.0000  2 Y 2.15



Entry from Alexandria: Y4Se5O after structural relaxation (GGA-PBE).

Properties
Space-group type: Immm, No. 71
Energy relative to the elements, uncorrected in eV/f.u.: -19.65
Total magnetization in μB/atom: 0.000
Volume in Å³ per cell: 253.26

a b c (Å): 9.8695 9.8695 9.8695
angles (deg): 157.79 135.65 50.14
With the nearest neighbours (Å) after each atom.
Sites, in units of the cell vectors:
Y 0.2188 0.2188 0.0000  6 Se 2.85-2.88
Y 0.2192 0.5000 0.7192  2 O 2.51
Y 0.7808 0.5000 0.2808  2 O 2.51
Y 0.7812 0.7812 0.0000  6 Se 2.85-2.88
Se 0.0867 0.3405 0.7461  4 Y 2.85-2.88
Se 0.4056 0.6595 0.7461  4 Y 2.85-2.88
Se 0.5000 0.0000 0.5000  4 Y 2.83
Se 0.5944 0.3405 0.2539  4 Y 2.85-2.88
Se 0.9133 0.6595 0.2539  4 Y 2.85-2.88
O 0.0000 0.0000 0.0000  4 Y 2.51



Entry from Alexandria: YSeO2 after structural relaxation (GGA-PBE).

Properties
Space-group type: I-42d, No. 122
Energy relative to the elements, uncorrected in eV/f.u.: -5.55
Total magnetization in μB/atom: 0.234
Volume in Å³ per cell: 157.11

a b c (Å): 6.3717 6.3717 6.3717
angles (deg): 127.71 127.71 77.09
With the nearest neighbours (Å) after each atom.
Sites, in units of the cell vectors:
Y 0.0000 0.0000 0.0000  4 O 2.15
Y 0.7500 0.2500 0.5000  4 O 2.15
Se 0.2500 0.7500 0.5000  4 O 2.57
Se 0.5000 0.5000 0.0000  4 O 2.57
O 0.0631 0.6250 0.9381  2 Y 2.15
O 0.3750 0.3131 0.4381  2 Y 2.15
O 0.6869 0.1250 0.0619  2 Y 2.15
O 0.8750 0.9369 0.5619  2 Y 2.15